DFT (PBE-GGA) results for a relaxed Pr2ScAgTe5 crystal.

Structure (POSCAR):
```
Pr2ScAgTe5
1.0
2.180 -9.457 0.000
2.180 9.457 0.000
0.000 0.000 13.124
Pr Sc Ag Te
4 2 2 10
direct
0.112 0.888 0.500
0.127 0.873 0.117
0.873 0.127 0.617
0.888 0.112 0.000
0.190 0.810 0.822
0.810 0.190 0.322
0.428 0.572 0.269
0.572 0.428 0.769
0.046 0.954 0.886
0.286 0.714 0.473
0.302 0.698 0.157
0.350 0.650 0.812
0.498 0.502 0.590
0.502 0.498 0.090
0.650 0.350 0.312
0.698 0.302 0.657
0.714 0.286 0.973
0.954 0.046 0.386
```

Values from the calculation:
Final energy, eV/atom: -4.9762
Space-group type: Cmc2_1 (36)



DFT (PBE-GGA) results for a relaxed PrScTlAg crystal.

Structure (POSCAR):
```
PrScTlAg
1.0
3.602 0.000 0.000
0.000 3.602 0.000
0.000 0.000 7.719
Pr Sc Tl Ag
1 1 1 1
direct
0.000 0.000 0.000
0.000 0.000 0.531
0.500 0.500 0.291
0.500 0.500 0.720
```

Values from the calculation:
Energy of formation, eV per atom: -0.299
Energy above the most stable polymorph in this dataset, meV per atom: 0
Space-group type: P4mm (99)